Density functional theory data (PBE) for CsInICl after structural relaxation.

```
CsInICl
1.0
-3.406 3.820 3.230
-5.379 -1.792 2.117
-0.766 -0.908 5.934
In I Cl Cs
1 1 1 1
Cartesian
-7.163 0.840 8.461
0.000 0.000 0.000
-4.775 0.560 5.641
-2.388 0.280 2.820
```

The spin magnetization comes out at 0.00 μB per formula unit. The density of states at the Fermi level comes out at 0.000 states/eV/f.u. For the uncorrected formation energy, the calculation gives -1.089 eV/atom. Its energy above the most stable polymorph in this dataset is 62.5 meV per atom. The space-group type is F-43m.